# 1
The following is a GGA-PBE calculation of a relaxed structure of MgScMn2Ga, from Alexandria via LeMat-Bulk.

a = 4.6343 Å, b = 5.3958 Å, c = 4.6343 Å
α = 90.00°, β = 90.00°, γ = 90.00°
With the nearest neighbours (Å) after each atom.
Positions (direct):
Sc (0.0000, 0.0000, 0.0000)  4 Mn 2.32
Mg (0.0000, 0.5000, 0.0000)  2 Sc 2.70
Mn (0.0000, 0.0000, 0.5000)  2 Sc 2.32
Mn (0.5000, 0.0000, 0.0000)  2 Sc 2.32
Ga (0.5000, 0.5000, 0.5000)  4 Mg 3.28, 8 Mn 3.56

Properties
- crystal system = tetragonal
- ΔH_f (0 K) (meV/atom) = 1164

***

# 2
The following is a GGA-PBE calculation of a relaxed structure of Ba3Dy2PaP6, from Alexandria via LeMat-Bulk.

a = 7.3295 Å, b = 7.3295 Å, c = 7.6775 Å
α = 99.17°, β = 99.17°, γ = 120.01°
With the nearest neighbours (Å) after each atom.
Positions (direct):
Ba (0.1696, 0.8304, 0.5000)  6 P 3.24-3.29
Ba (0.8304, 0.1696, 0.5000)  6 P 3.24-3.29
Ba (0.5000, 0.5000, 0.5000)  6 P 3.24-3.31
Dy (0.3338, 0.6662, 0.0000)  6 P 2.88-2.89
Dy (0.6662, 0.3338, 0.0000)  6 P 2.88-2.89
Pa (0.0000, 0.0000, 0.0000)  6 P 2.79-2.80
P (0.9327, 0.6088, 0.7977)  1 Pa 2.79, 2 Dy 2.88-2.89
P (0.7448, 0.7448, 0.2043)  1 Pa 2.80, 2 Dy 2.89
P (0.0673, 0.3912, 0.2023)  1 Pa 2.79, 2 Dy 2.88-2.89
P (0.6088, 0.9327, 0.7977)  1 Pa 2.79, 2 Dy 2.88-2.89
P (0.2552, 0.2552, 0.7957)  1 Pa 2.80, 2 Dy 2.89
P (0.3912, 0.0673, 0.2023)  1 Pa 2.79, 2 Dy 2.88-2.89

Properties
- crystal system = monoclinic
- ΔH_f (0 K) (meV/atom) = -1193

***

# 3
The following is a GGA-PBE calculation of a relaxed structure of Ac12Tl6Ge, from Alexandria via LeMat-Bulk.

a = 9.1553 Å, b = 9.1553 Å, c = 9.1553 Å
α = 93.24°, β = 93.24°, γ = 93.24°
With the nearest neighbours (Å) after each atom.
Positions (direct):
Ac (0.8057, 0.5674, 0.4510)  4 Tl 3.44-3.56
Ac (0.4510, 0.8057, 0.5674)  4 Tl 3.44-3.56
Ac (0.5674, 0.4510, 0.8057)  4 Tl 3.44-3.56
Ac (0.1943, 0.4326, 0.5490)  4 Tl 3.44-3.56
Ac (0.5490, 0.1943, 0.4326)  4 Tl 3.44-3.56
Ac (0.4326, 0.5490, 0.1943)  4 Tl 3.44-3.56
Ac (0.9619, 0.0951, 0.3201)  1 Ge 3.05, 1 Tl 3.40
Ac (0.9049, 0.6799, 0.0381)  1 Ge 3.05, 1 Tl 3.40
Ac (0.6799, 0.0381, 0.9049)  1 Ge 3.05, 1 Tl 3.40
Ac (0.0381, 0.9049, 0.6799)  1 Ge 3.05, 1 Tl 3.40
Ac (0.0951, 0.3201, 0.9619)  1 Ge 3.05, 1 Tl 3.40
Ac (0.3201, 0.9619, 0.0951)  1 Ge 3.05, 1 Tl 3.40
Tl (0.6597, 0.8604, 0.2666)  8 Ac 3.40-3.78
Tl (0.7334, 0.3403, 0.1396)  8 Ac 3.40-3.78
Tl (0.1396, 0.7334, 0.3403)  8 Ac 3.40-3.78
Tl (0.3403, 0.1396, 0.7334)  8 Ac 3.40-3.78
Tl (0.2666, 0.6597, 0.8604)  8 Ac 3.40-3.78
Tl (0.8604, 0.2666, 0.6597)  8 Ac 3.40-3.78
Ge (0.0000, 0.0000, 0.0000)  6 Ac 3.05

Properties
- crystal system = trigonal
- ΔH_f (0 K) (meV/atom) = -215

***

# 4
The following is a GGA-PBE calculation of a relaxed structure of SrPtBr2, from Alexandria via LeMat-Bulk.

a = 8.6921 Å, b = 8.6921 Å, c = 8.6921 Å
α = 28.87°, β = 28.87°, γ = 28.87°
With the nearest neighbours (Å) after each atom.
Positions (direct):
Sr (0.0000, 0.0000, 0.0000)  2 Br 2.95
Br (0.8817, 0.8817, 0.8817)  3 Pt 2.78, 1 Sr 2.95
Br (0.1183, 0.1183, 0.1183)  3 Pt 2.78, 1 Sr 2.95
Pt (0.5000, 0.5000, 0.5000)  6 Br 2.78

Properties
- formation energy without anion corrections (eV per atom) = -0.15
- energy above the most stable polymorph in this dataset (eV/atom) = 0.9897
- crystal system = trigonal

***

# 5
The following is a GGA-PBE calculation of a relaxed structure of CoOs2Ru, from Alexandria via LeMat-Bulk.

a = 5.0981 Å, b = 5.0981 Å, c = 6.8762 Å
α = 68.24°, β = 68.24°, γ = 90.00°
With the nearest neighbours (Å) after each atom.
Positions (direct):
Ru (0.0000, 0.0000, 0.0000)  4 Os 2.39
Ru (0.7500, 0.2500, 0.5000)  4 Os 2.39
Os (0.6013, 0.1250, 0.2500)  2 Co 2.26, 2 Ru 2.39
Os (0.1487, 0.6250, 0.2500)  2 Co 2.26, 2 Ru 2.39
Os (0.3750, 0.3987, 0.7500)  2 Co 2.26, 2 Ru 2.39
Os (0.8750, 0.8513, 0.7500)  2 Co 2.26, 2 Ru 2.39
Co (0.5000, 0.5000, 0.0000)  4 Os 2.26
Co (0.2500, 0.7500, 0.5000)  4 Os 2.26

Properties
- energy above the most stable polymorph in this dataset (eV/atom) = 1.1735
- crystal system = tetragonal
- ΔH_f (0 K) (meV/atom) = 1315

***

# 6
The following is a GGA-PBE calculation of a relaxed structure of PaNbCrMo, from Alexandria via LeMat-Bulk.

a = 4.6385 Å, b = 4.6385 Å, c = 4.6385 Å
α = 60.00°, β = 60.00°, γ = 60.00°
With the nearest neighbours (Å) after each atom.
Positions (direct):
Cr (0.7500, 0.7500, 0.7500)  4 Pa 2.84, 4 Nb 2.84
Mo (0.2500, 0.2500, 0.2500)  4 Nb 2.84, 4 Pa 2.84
Pa (0.5000, 0.5000, 0.5000)  4 Cr 2.84, 4 Mo 2.84
Nb (0.0000, 0.0000, 0.0000)  4 Cr 2.84, 4 Mo 2.84

Properties
- crystal system = cubic
- ΔH_f (0 K) (meV/atom) = 111

***

# 7
The following is a GGA-PBE calculation of a relaxed structure of ZrCuBr, from Alexandria via LeMat-Bulk.

a = 4.5535 Å, b = 4.5535 Å, c = 4.5535 Å
α = 60.00°, β = 60.00°, γ = 60.00°
With the nearest neighbours (Å) after each atom.
Positions (direct):
Br (0.0000, 0.0000, 0.0000)  4 Zr 2.79
Cu (0.5000, 0.5000, 0.5000)  4 Zr 2.79
Zr (0.7500, 0.7500, 0.7500)  4 Br 2.79, 4 Cu 2.79

Properties
- formation energy without anion corrections (eV per atom) = 0.23
- energy above the most stable polymorph in this dataset (eV/atom) = 0.5078
- crystal system = cubic

***

# 8
The following is a GGA-PBE calculation of a relaxed structure of Tb6MgCd, from Alexandria via LeMat-Bulk.

a = 8.8122 Å, b = 8.8114 Å, c = 6.1938 Å
α = 44.65°, β = 44.74°, γ = 59.82°
With the nearest neighbours (Å) after each atom.
Positions (direct):
Tb (0.9761, 0.4778, 0.7950)  2 Tb 3.10-3.14, 1 Mg 3.33, 1 Cd 3.36
Tb (0.7511, 0.9757, 0.7941)  2 Tb 3.11-3.14, 1 Mg 3.33, 1 Cd 3.36
Tb (0.5250, 0.2489, 0.2032)  2 Tb 3.11-3.14, 1 Mg 3.33, 1 Cd 3.34
Tb (0.2489, 0.0243, 0.2059)  2 Tb 3.11-3.14, 1 Mg 3.33, 1 Cd 3.36
Tb (0.0239, 0.5222, 0.2050)  2 Tb 3.10-3.14, 1 Mg 3.33, 1 Cd 3.36
Tb (0.4750, 0.7511, 0.7968)  2 Tb 3.11-3.14, 1 Mg 3.33, 1 Cd 3.34
Mg (0.5000, 0.5000, 0.5000)  12 Tb 3.33-3.62
Cd (0.0000, 0.0000, 0.0000)  12 Tb 3.34-3.60

Properties
- energy above the most stable polymorph in this dataset (eV/atom) = 0.1073
- crystal system = triclinic
- ΔH_f (0 K) (meV/atom) = 17

***

# 9
The following is a GGA-PBE calculation of a relaxed structure of Y2InC, from Alexandria via LeMat-Bulk.

a = 3.6189 Å, b = 3.6189 Å, c = 8.4072 Å
α = 77.57°, β = 77.57°, γ = 60.00°
With the nearest neighbours (Å) after each atom.
Positions (direct):
Y (0.7779, 0.7779, 0.6664)  3 C 2.49
Y (0.2221, 0.2221, 0.3336)  3 C 2.49
C (0.5000, 0.5000, 0.5000)  6 Y 2.49
In (0.0000, 0.0000, 0.0000)  6 Y 3.43, 6 In 3.62

Properties
- crystal system = trigonal
- ΔH_f (0 K) (meV/atom) = -408

***

# 10
The following is a GGA-PBE calculation of a relaxed structure of La2DyPbN, from Alexandria via LeMat-Bulk.

a = 4.8713 Å, b = 5.1350 Å, c = 5.1350 Å
α = 90.00°, β = 90.00°, γ = 90.00°
With the nearest neighbours (Å) after each atom.
Positions (direct):
La (0.0000, 0.0000, 0.5000)  2 N 2.57
La (0.0000, 0.5000, 0.0000)  2 N 2.57
Dy (0.5000, 0.0000, 0.0000)  2 N 2.44
Pb (0.5000, 0.5000, 0.5000)  8 La 3.54, 4 Dy 3.63
N (0.0000, 0.0000, 0.0000)  2 Dy 2.44, 4 La 2.57

Properties
- formation energy without anion corrections (eV per atom) = -0.92
- crystal system = tetragonal

***

# 11
The following is a GGA-PBE calculation of a relaxed structure of K4AcTh3S8, from Alexandria via LeMat-Bulk.

a = 8.3648 Å, b = 8.9101 Å, c = 8.3639 Å
α = 118.01°, β = 120.00°, γ = 90.00°
With the nearest neighbours (Å) after each atom.
Positions (direct):
K (0.5000, 0.0000, 0.0000)  6 S 3.14
K (0.5000, 0.0000, 0.5000)  6 S 3.25-3.26
K (0.0000, 0.0000, 0.0000)  6 S 3.25-3.26
K (0.0000, 0.0000, 0.5000)  6 S 3.25-3.26
Ac (0.0000, 0.5000, 0.0000)  6 S 3.00
Th (0.5000, 0.5000, 0.0000)  6 S 2.86-2.88
Th (0.5000, 0.5000, 0.5000)  6 S 2.86-2.88
Th (0.0000, 0.5000, 0.5000)  6 S 2.86-2.88
S (0.2461, 0.7156, 0.9696)  2 Th 2.86, 1 Ac 3.00, 1 K 3.14
S (0.2461, 0.7155, 0.4922)  2 Th 2.86, 1 Ac 3.00, 1 K 3.14
S (0.2636, 0.2911, 0.5273)  3 Th 2.88
S (0.7235, 0.7156, 0.9696)  2 Th 2.86, 1 Ac 3.00, 1 K 3.14
S (0.2765, 0.2844, 0.0304)  2 Th 2.86, 1 Ac 3.00, 1 K 3.14
S (0.7364, 0.7089, 0.4727)  3 Th 2.88
S (0.7539, 0.2845, 0.5078)  2 Th 2.86, 1 Ac 3.00, 1 K 3.14
S (0.7539, 0.2844, 0.0304)  2 Th 2.86, 1 Ac 3.00, 1 K 3.14

Properties
- formation energy without anion corrections (eV per atom) = -1.71
- crystal system = trigonal

***

# 12
The following is a GGA-PBE calculation of a relaxed structure of PmSmPd2, from Alexandria via LeMat-Bulk.

a = 4.1751 Å, b = 4.1751 Å, c = 7.2165 Å
α = 73.19°, β = 73.19°, γ = 60.00°
With the nearest neighbours (Å) after each atom.
Positions (direct):
Pd (0.7506, 0.7506, 0.7481)  3 Sm 2.94, 3 Pm 2.96
Pd (0.2494, 0.2494, 0.2519)  3 Sm 2.94, 3 Pm 2.96
Sm (0.5000, 0.5000, 0.5000)  6 Pd 2.94
Pm (0.0000, 0.0000, 0.0000)  6 Pd 2.96

Properties
- energy above the most stable polymorph in this dataset (eV/atom) = 0.1473
- crystal system = trigonal
- ΔH_f (0 K) (meV/atom) = -692

***

no.,theoretical density (Mg/m³),spin magnetization (Bohr magnetons per cell),DOS at the Fermi energy (states/eV/atom)
1,3.6,5.8,0.615
2,5.7,0.0,0.935
3,8.7,0.0,1.096
4,5.4,0.6,1.142
5,11.8,0.0,0.692
6,11.1,0.0,1.206
7,5.8,0.0,1.109
8,7.6,0.0,1.297
9,5.5,0.0,0.853
10,8.6,0.0,0.587
11,4.9,0.0,0.664
12,8.2,0.0,0.614